24
Lattice="-3.5053 -2.5500 0.1960 3.3903 -4.7968 -1.7754 2.6728 -2.7173 12.4455" Properties=species:S:1:pos:R:3 comment="MgGaIr2, relaxed, DFT PBE-GGA" energy_ev_per_atom=-6.0337 density_kg_m3=13755 space_group="Fm-3m (225)" pbc="T T T"
Ga 1.6952 -2.3984 -0.8877
Ga -1.3076 -1.7282 2.1723
Ga 2.5856 -3.3045 3.2608
Ga -0.4163 -2.6337 6.3207
Ga -0.0279 -6.7597 7.6053
Ga 0.4751 -3.5392 10.4692
Ir -0.9052 -2.4741 -0.3458
Ir 0.7902 -4.8728 -1.2336
Ir -2.2106 -4.2010 1.8264
Ir -0.5155 -6.5994 0.9386
Ir -0.0125 -3.3788 3.8025
Ir 1.6826 -5.7772 2.9148
Ir 2.1841 -2.5580 5.7788
Ir 3.8790 -4.9561 4.8912
Ir 0.8752 -4.2870 7.9513
Ir 2.5703 -6.6854 7.0636
Ir 3.0733 -3.4648 9.9274
Ir 4.7684 -5.8632 9.0397
Mg 0.0000 0.0000 0.0000
Mg 0.3902 -4.1246 1.2843
Mg -2.6121 -3.4542 4.3445
Mg 1.2789 -5.0321 5.4330
Mg 1.7796 -1.8132 8.2970
Mg 2.1676 -5.9395 9.5818